No. 1
Crystalline ThBPt at its relaxed geometry. Source: OQMD, functional GGA-PBE. Values from VASP.

Calculated volume, Å³ per cell: 69.4
Size of the total moment, μB/cell: 0.00
Polymorph energy (0 for the lowest one), meV per atom: 719.2

Cell and atoms, written as Quantum ESPRESSO input:
```
&SYSTEM
  ibrav = 0, nat = 3, ntyp = 3
/
ATOMIC_SPECIES
B 10.81 B.upf
Pt 195.08 Pt.upf
Th 232.04 Th.upf
CELL_PARAMETERS angstrom
2.307 1.332 3.767
-2.307 1.332 3.767
0.000 -2.663 3.767
ATOMIC_POSITIONS crystal
B 0.750 0.750 0.750
Pt 0.250 0.250 0.250
Th 0.000 0.000 0.000
```

---

No. 2
Crystalline Pu2Cd at its relaxed geometry. Source: OQMD, functional GGA-PBE. Values from VASP.

Calculated volume, Å³ per cell: 664.5
E_form, eV per atom: 1.800
Size of the total moment, μB/cell: 24.00

Cell and atoms, written as Quantum ESPRESSO input:
```
&SYSTEM
  ibrav = 0, nat = 6, ntyp = 2
/
ATOMIC_SPECIES
Cd 112.41 Cd.upf
Pu 244.00 Pu.upf
CELL_PARAMETERS angstrom
4.897 2.827 7.997
-4.897 2.827 7.997
0.000 -5.655 7.997
ATOMIC_POSITIONS crystal
Cd 0.250 0.250 0.250
Cd 0.500 0.500 0.500
Pu 0.375 0.375 0.375
Pu 0.875 0.375 0.375
Pu 0.375 0.875 0.375
Pu 0.375 0.375 0.875
```

---

No. 3
Crystalline PmPrHo at its relaxed geometry. Source: OQMD, functional GGA-PBE. Values from VASP.

Calculated volume, Å³ per cell: 117.9
E_form, eV per atom: 0.687
Size of the total moment, μB/cell: 0.10
Polymorph energy (0 for the lowest one), meV per atom: 0.0

Cell and atoms, written as Quantum ESPRESSO input:
```
&SYSTEM
  ibrav = 0, nat = 3, ntyp = 3
/
ATOMIC_SPECIES
Ho 164.93 Ho.upf
Pm 145.00 Pm.upf
Pr 140.91 Pr.upf
CELL_PARAMETERS angstrom
4.552 -3.064 0.432
-0.117 -5.318 -1.415
2.615 -1.699 -4.536
ATOMIC_POSITIONS crystal
Ho 0.000 0.000 0.000
Pm 0.750 0.750 0.750
Pr 0.250 0.250 0.250
```